Entry from Alexandria: PrSm2Tl2 after structural relaxation (PBE-GGA).

Unit cell a=4.7539 b=4.7539 c=7.8690 alpha=107.48 beta=107.48 gamma=89.97
With the nearest neighbours (Å) after each atom.
Positions (direct):
Pr 0.0000 0.0000 0.0000  8 Tl 3.64-3.66
Sm 0.2500 0.7500 0.5000  4 Tl 3.20, 4 Sm 3.36
Sm 0.7500 0.2500 0.5000  4 Tl 3.20, 4 Sm 3.36
Tl 0.3990 0.3990 0.8011  1 Tl 2.83
Tl 0.6010 0.6010 0.1989  1 Tl 2.83

DFT formation energy ... -0.17 eV per atom
Relative energy among the computed polymorphs ... 0.0 kJ per mole of atoms

=====

Entry from Alexandria: Pr12Sm7Tl after structural relaxation (PBE-GGA).

Unit cell a=8.8871 b=8.8871 c=8.8871 alpha=88.94 beta=88.94 gamma=88.94
With the nearest neighbours (Å) after each atom.
Positions (direct):
Pr 0.0029 0.8844 0.3581  4 Pr 3.28-3.59, 2 Sm 3.33-3.66
Pr 0.1156 0.6419 0.9971  4 Pr 3.28-3.59, 2 Sm 3.33-3.66
Pr 0.2379 0.3718 0.7591  5 Pr 3.35-3.64, 1 Tl 3.44, 2 Sm 3.65-3.73
Pr 0.2409 0.7621 0.6282  5 Pr 3.35-3.64, 1 Tl 3.44, 2 Sm 3.65-3.73
Pr 0.3581 0.0029 0.8844  4 Pr 3.28-3.59, 2 Sm 3.33-3.66
Pr 0.3718 0.7591 0.2379  5 Pr 3.35-3.64, 1 Tl 3.44, 2 Sm 3.65-3.73
Pr 0.6282 0.2409 0.7621  5 Pr 3.35-3.64, 1 Tl 3.44, 2 Sm 3.65-3.73
Pr 0.6419 0.9971 0.1156  4 Pr 3.28-3.59, 2 Sm 3.33-3.66
Pr 0.7591 0.2379 0.3718  5 Pr 3.35-3.64, 1 Tl 3.44, 2 Sm 3.65-3.73
Pr 0.7621 0.6282 0.2409  5 Pr 3.35-3.64, 1 Tl 3.44, 2 Sm 3.65-3.73
Pr 0.8844 0.3581 0.0029  4 Pr 3.28-3.59, 2 Sm 3.33-3.66
Pr 0.9971 0.1156 0.6419  4 Pr 3.28-3.59, 2 Sm 3.33-3.66
Sm 0.0000 0.0000 0.0000  6 Pr 3.33
Sm 0.1175 0.4322 0.3550  3 Sm 3.50-3.54, 7 Pr 3.65-3.91, 1 Tl 3.72
Sm 0.3550 0.1175 0.4322  3 Sm 3.50-3.54, 7 Pr 3.65-3.91, 1 Tl 3.72
Sm 0.4322 0.3550 0.1175  3 Sm 3.50-3.54, 7 Pr 3.65-3.91, 1 Tl 3.72
Sm 0.5678 0.6450 0.8825  3 Sm 3.50-3.54, 7 Pr 3.65-3.91, 1 Tl 3.72
Sm 0.6450 0.8825 0.5678  3 Sm 3.50-3.54, 7 Pr 3.65-3.91, 1 Tl 3.72
Sm 0.8825 0.5678 0.6450  3 Sm 3.50-3.54, 7 Pr 3.65-3.91, 1 Tl 3.72
Tl 0.5000 0.5000 0.5000  6 Pr 3.44, 6 Sm 3.72

DFT formation energy ... 0.14 eV per atom

=====

Entry from Alexandria: PrSm4Tl after structural relaxation (PBE-GGA).

Unit cell a=3.6818 b=3.6818 c=14.5211 alpha=90.00 beta=90.00 gamma=90.00
With the nearest neighbours (Å) after each atom.
Positions (direct):
Pr 0.0000 0.0000 0.0000  8 Sm 3.68, 4 Pr 3.68
Sm 0.0000 0.0000 0.3540  4 Tl 3.36, 8 Sm 3.64-3.68
Sm 0.0000 0.0000 0.6460  4 Tl 3.36, 8 Sm 3.64-3.68
Sm 0.5000 0.5000 0.1793  8 Sm 3.64-3.68, 4 Pr 3.68
Sm 0.5000 0.5000 0.8207  8 Sm 3.64-3.68, 4 Pr 3.68
Tl 0.5000 0.5000 0.5000  8 Sm 3.36, 4 Tl 3.68

DFT formation energy ... -0.10 eV per atom
Relative energy among the computed polymorphs ... 0.0 kJ per mole of atoms

=====

Number 1: size of the total moment 0.00 μB/f.u.. Number 2: size of the total moment 0.00 μB/f.u.. Number 3: size of the total moment 0.00 μB/f.u..